Compound: TiPtPb
Source: the Alexandria database
Functional: PBE
Structure: relaxed

## Properties
For the theoretical density, the calculation gives 12.036 g/cm³. As for the size of the total moment: 0.000 μB per atom. Its formation energy is -151 meV/atom. Its symmetry is No. 187.

Cell lengths 3.418, 3.419, 12.269 Å; angles 90.00, 90.00, 119.99 degrees
Fractional coordinates of all 6 atoms:
Pt  0.278  0.556  0.500
Pt  0.611  0.221  0.000
Ti  0.277  0.555  0.136
Ti  0.277  0.555  0.864
Pb  0.611  0.223  0.668
Pb  0.611  0.223  0.332